(1)
DFT (PBE-GGA) results for Te3IrW after structural relaxation.

abc: 5.1092 5.1092 5.1092
angles: 90.00 90.00 90.00
Space group Pm-3m (No. 221)
Asymmetric unit:
Te: 0.0000 0.0000 0.5000
Ir: 0.0000 0.0000 0.0000
W: 0.5000 0.5000 0.5000

Properties
Distance to the lowest polymorph of the same formula: 0.094 eV per atom
E_form (uncorrected): 1.509 eV per atom

(2)
DFT (PBE-GGA) results for CsVIn2Cl6 after structural relaxation.

abc: 7.0762 8.7627 12.2328
angles: 90.00 123.51 90.00
Space group P2_1/c (No. 14)
Asymmetric unit:
Cs: 0.0000 0.0000 0.0000
V: 0.5000 0.0000 0.5000
In: 0.2185 0.0233 0.7266
Cl: 0.1994 0.1428 0.4919
Cl: 0.2229 0.6860 0.8565
Cl: 0.4437 0.1387 0.3148

Properties
E_form (uncorrected): -1.228 eV per atom